# KVMo2C | the Alexandria database | GGA-PBE | optimized geometry
data_KVMo2C
_cell_length_a 4.445
_cell_length_b 4.445
_cell_length_c 6.330
_cell_angle_alpha 90.00
_cell_angle_beta 90.00
_cell_angle_gamma 90.00
_space_group_name_H-M_alt 'P 1'
_space_group_IT_number 1
loop_
_space_group_symop_operation_xyz
'x,y,z'
loop_
_atom_site_label
_atom_site_type_symbol
_atom_site_fract_x
_atom_site_fract_y
_atom_site_fract_z
K1 K 0.000 0.000 0.000
V1 V 0.000 0.000 0.500
Mo1 Mo 0.000 0.500 0.500
Mo2 Mo 0.500 0.000 0.500
C1 C 0.500 0.500 0.000
# D(E_F)	4.9	states/eV per cell
# raw total energy	-5.53	eV/atom
# energy relative to the elements	259	kJ/mol of atoms
# SG	P4/mmm

# Pr2EuZr | the Alexandria database | GGA-PBE | optimized geometry
data_Pr2EuZr
_cell_length_a 3.575
_cell_length_b 3.575
_cell_length_c 10.377
_cell_angle_alpha 90.00
_cell_angle_beta 90.00
_cell_angle_gamma 90.00
_space_group_name_H-M_alt 'P 1'
_space_group_IT_number 1
loop_
_space_group_symop_operation_xyz
'x,y,z'
loop_
_atom_site_label
_atom_site_type_symbol
_atom_site_fract_x
_atom_site_fract_y
_atom_site_fract_z
Pr1 Pr 0.000 0.000 0.219
Pr2 Pr 0.000 0.000 0.781
Eu1 Eu 0.500 0.500 0.500
Zr1 Zr 0.500 0.500 0.000
# energy above the most stable polymorph in this dataset	0.00	eV/f.u.
# D(E_F)	5.4	states/eV per cell
# raw total energy	-6.97	eV/atom
# energy relative to the elements	12	kJ/mol of atoms
# SG	P4/mmm